(1)
Material: RbGeTe2
Method: DFT, GGA-PBE
State: optimized geometry Values from VASP.

```
&SYSTEM
  ibrav = 0, nat = 4, ntyp = 3
/
ATOMIC_SPECIES
Ge 72.64 Ge.upf
Te 127.60 Te.upf
Rb 85.47 Rb.upf
CELL_PARAMETERS angstrom
-3.1711 -2.6934 0.9192
0.8240 -3.6344 2.0657
-2.0126 1.9366 8.6020
ATOMIC_POSITIONS crystal
Ge 0.6667 0.6667 0.0000
Te 0.2713 0.2713 0.1860
Rb 0.5004 0.5004 0.4988
Te 0.0616 0.0616 0.8151
```

Results
The calculation puts the raw formation energy at -0.360 eV per atom. Its crystal system is trigonal. Its space group is No. 160. For the volume, the calculation gives 136.86 Å³/cell. Its magnetic moment is 0.0 μB per cell.

***

(2)
Material: La2TbDy6Th3
Method: DFT, GGA-PBE
State: optimized geometry Values from VASP.

```
&SYSTEM
  ibrav = 0, nat = 12, ntyp = 4
/
ATOMIC_SPECIES
Dy 162.50 Dy.upf
Th 232.04 Th.upf
La 138.91 La.upf
Tb 158.93 Tb.upf
CELL_PARAMETERS angstrom
-6.0475 -1.4635 -0.3085
2.7834 0.5915 5.5419
-1.6437 11.5519 -1.5766
ATOMIC_POSITIONS crystal
Dy 0.2466 0.2466 0.7425
Th 0.8330 0.1670 0.5000
Dy 0.7534 0.7534 0.2575
Dy 0.4179 0.0856 0.2572
Dy 0.0856 0.4179 0.2572
Dy 0.9144 0.5821 0.7428
Dy 0.5821 0.9144 0.7428
La 0.6660 0.3340 0.0000
Tb 0.0000 0.0000 0.0000
Th 0.1670 0.8330 0.5000
Th 0.5000 0.5000 0.5000
La 0.3340 0.6660 0.0000
```

Results
Its crystal system is monoclinic. The calculated formation energy is 0.02 eV per atom. Its space group is No. 12. For the volume, the calculation gives 389.48 Å³/cell. Its magnetic moment is 0.0 μB per cell.

***

(3)
Material: PPdAu3
Method: DFT, GGA-PBE
State: optimized geometry Values from VASP.

```
&SYSTEM
  ibrav = 0, nat = 5, ntyp = 3
/
ATOMIC_SPECIES
P 30.97 P.upf
Au 196.97 Au.upf
Pd 106.42 Pd.upf
CELL_PARAMETERS angstrom
-4.9404 -0.4744 0.5115
-0.1443 -2.8842 -4.0687
0.6825 -4.0435 2.8422
ATOMIC_POSITIONS crystal
P 0.5000 0.5000 0.5000
Au 0.5000 0.0000 0.0000
Pd 0.0000 0.0000 0.0000
Au 0.0000 0.5000 0.0000
Au 0.0000 0.0000 0.5000
```

Results
Its crystal system is cubic. Its energy above the most stable polymorph in this dataset is 0.9046 eV per atom. The calculated formation energy is 1.20 eV per atom. Its space group is No. 221. For the volume, the calculation gives 124.20 Å³/cell. Its magnetic moment is 0.7 μB per cell.

***

(4)
Material: CaTm3Ir4
Method: DFT, GGA-PBE
State: optimized geometry Values from VASP.

```
&SYSTEM
  ibrav = 0, nat = 16, ntyp = 3
/
ATOMIC_SPECIES
Ca 40.08 Ca.upf
Ir 192.22 Ir.upf
Tm 168.93 Tm.upf
CELL_PARAMETERS angstrom
-0.8983 4.4545 1.5698
-5.8218 -0.0083 -3.3077
-4.3972 -3.6173 7.7485
ATOMIC_POSITIONS crystal
Ca 0.0000 0.5000 0.0000
Ir 0.5000 0.7570 0.0000
Tm 0.5001 0.0000 0.7500
Ca 0.0000 0.5000 0.5000
Tm 0.5001 0.5000 0.7500
Ir 0.5000 0.2430 0.5000
Ir 0.9998 0.7570 0.2500
Ir 0.5000 0.2430 0.0000
Ir 0.9998 0.2430 0.2500
Tm 0.4999 0.0000 0.2500
Tm 0.0000 0.0000 0.5000
Ir 0.0002 0.2430 0.7500
Tm 0.4999 0.5000 0.2500
Ir 0.5000 0.7570 0.5000
Ir 0.0002 0.7570 0.7500
Tm 0.0000 0.0000 0.0000
```

Results
Its crystal system is tetragonal. The calculated formation energy is -0.74 eV per atom. Its space group is No. 123. For the volume, the calculation gives 309.54 Å³/cell. Its magnetic moment is 0.0 μB per cell.

***

(5)
Material: TlAgSb3
Method: DFT, GGA-PBE
State: optimized geometry Values from VASP.

```
&SYSTEM
  ibrav = 0, nat = 5, ntyp = 3
/
ATOMIC_SPECIES
Tl 204.38 Tl.upf
Sb 121.76 Sb.upf
Ag 107.87 Ag.upf
CELL_PARAMETERS angstrom
-2.5502 -4.5988 1.5225
-0.3037 -1.5654 -5.2371
4.8347 -2.5241 0.4741
ATOMIC_POSITIONS crystal
Tl 0.5000 0.5000 0.5000
Sb 0.0000 0.5000 0.0000
Ag 0.0000 0.0000 0.0000
Sb 0.5000 0.0000 0.0000
Sb 0.0000 0.0000 0.5000
```

Results
The calculation puts the raw formation energy at 0.502 eV per atom. Its crystal system is cubic. Its energy above the most stable polymorph in this dataset is 0.0000 eV per atom. Its space group is No. 221. For the volume, the calculation gives 164.07 Å³/cell. Its magnetic moment is 0.0 μB per cell.

***

(6)
Material: Ho6In10Co
Method: DFT, GGA-PBE
State: optimized geometry Values from VASP.

```
&SYSTEM
  ibrav = 0, nat = 17, ntyp = 3
/
ATOMIC_SPECIES
In 114.82 In.upf
Ho 164.93 Ho.upf
Co 58.93 Co.upf
CELL_PARAMETERS angstrom
-3.2469 0.7884 -5.0796
-7.0383 -4.1223 3.8591
0.9699 8.9383 0.7673
ATOMIC_POSITIONS crystal
In 0.7906 0.2320 0.0000
In 0.7906 0.0000 0.2320
In 0.0000 0.3333 0.6667
Ho 0.2752 0.6125 0.6125
In 0.5000 0.3333 0.6667
In 0.5000 0.6667 0.3333
In 0.0000 0.6667 0.3333
Ho 0.7248 0.0000 0.6125
Ho 0.7248 0.3875 0.3875
Ho 0.7248 0.6125 0.0000
Ho 0.2752 0.0000 0.3875
In 0.2094 0.2320 0.2320
In 0.2094 0.0000 0.7680
Ho 0.2752 0.3875 0.0000
In 0.7906 0.7680 0.7680
In 0.2094 0.7680 0.0000
Co 0.5000 0.0000 0.0000
```

Results
Its crystal system is trigonal. The calculated formation energy is -0.25 eV per atom. Its space group is No. 162. For the volume, the calculation gives 428.73 Å³/cell. Its magnetic moment is 0.0 μB per cell.

***

(7)
Material: Li2HgI
Method: DFT, GGA-PBE
State: optimized geometry Values from VASP.

```
&SYSTEM
  ibrav = 0, nat = 4, ntyp = 3
/
ATOMIC_SPECIES
Hg 200.59 Hg.upf
Li 6.94 Li.upf
I 126.90 I.upf
CELL_PARAMETERS angstrom
-1.4685 -3.3512 0.7563
1.0060 -1.2060 -3.3901
6.0411 -2.0759 2.5313
ATOMIC_POSITIONS crystal
Hg 0.5000 0.5000 0.5000
Li 0.0000 0.0000 0.7333
Li 0.0000 0.0000 0.2667
I 0.5000 0.5000 0.0000
```

Results
The calculation puts the raw formation energy at -0.557 eV per atom. Its crystal system is tetragonal. Its energy above the most stable polymorph in this dataset is 0.0323 eV per atom. Its space group is No. 123. For the volume, the calculation gives 95.91 Å³/cell. Its magnetic moment is 0.0 μB per cell.

***

(8)
Material: Ni3BiRh
Method: DFT, GGA-PBE
State: optimized geometry Values from VASP.

```
&SYSTEM
  ibrav = 0, nat = 5, ntyp = 3
/
ATOMIC_SPECIES
Ni 58.69 Ni.upf
Rh 102.91 Rh.upf
Bi 208.98 Bi.upf
CELL_PARAMETERS angstrom
-2.7119 0.3117 -3.6582
0.1252 -4.5374 -0.4795
-3.6693 -0.3852 2.6873
ATOMIC_POSITIONS crystal
Ni 0.0000 0.5000 0.0000
Rh 0.0000 0.0000 0.0000
Ni 0.5000 0.0000 0.0000
Ni 0.0000 0.0000 0.5000
Bi 0.5000 0.5000 0.5000
```

Results
Its crystal system is cubic. Its energy above the most stable polymorph in this dataset is 0.0000 eV per atom. The calculated formation energy is 0.91 eV per atom. Its space group is No. 221. For the volume, the calculation gives 95.09 Å³/cell. Its magnetic moment is 3.0 μB per cell.